Compound: GaBTe2
Source: Alexandria via LeMat-Bulk
Functional: PBE-GGA
Structure: optimized geometry

As for the formation energy from raw total energies: 0.4086 eV/atom. Its crystal system is trigonal. As for the total energy: -3.588 eV/atom. The polymorph energy (0 for the lowest one) comes out at 15.4 kJ per mole of atoms. The density comes out at 3.67 g cm⁻³.

It has space group R-3m (No. 166, hexagonal axes), with a = 4.9782 Å, b = 4.9782 Å, c = 21.2414 Å, α = 90.00°, β = 90.00° and γ = 120.00°. The inequivalent atoms are Ga at (0.0000, 0.0000, 0.0000), B at (0.0000, 0.0000, 0.5000) and Te at (0.0000, 0.0000, 0.4043).


Compound: RuRhPb2
Source: Alexandria via LeMat-Bulk
Functional: PBE-GGA
Structure: optimized geometry

The value obtained for the energy relative to the elements is 0.598 eV per atom. Its crystal system is cubic. As for the total energy: -5.413 eV/atom. The polymorph energy (0 for the lowest one) comes out at 31.6 kJ per mole of atoms. The density comes out at 12.83 g cm⁻³.

It has space group F-43m (No. 216), with a = 6.842 Å, b = 6.842 Å, c = 6.842 Å, α = 90.00°, β = 90.00° and γ = 90.00°. The inequivalent atoms are Ru at (0.000, 0.000, 0.000), Rh at (0.250, 0.250, 0.750), Pb at (0.000, 0.000, 0.500) and Pb at (0.250, 0.250, 0.250).


Compound: TaBe4Hg
Source: Alexandria via LeMat-Bulk
Functional: PBE-GGA
Structure: optimized geometry

The value obtained for the energy relative to the elements is 0.284 eV per atom. Its crystal system is cubic. As for the total energy: -4.226 eV/atom. The density comes out at 9.64 g cm⁻³.

It has space group F-43m (No. 216), with a = 6.602 Å, b = 6.602 Å, c = 6.602 Å, α = 90.00°, β = 90.00° and γ = 90.00°. The inequivalent atoms are Ta at (0.000, 0.000, 0.000), Be at (0.132, 0.132, 0.632) and Hg at (0.250, 0.250, 0.250).


Compound: Sm3Y4Bi4
Source: Alexandria via LeMat-Bulk
Functional: PBE-GGA
Structure: optimized geometry

The value obtained for the energy relative to the elements is -0.600 eV per atom. Its crystal system is orthorhombic. As for the total energy: -5.649 eV/atom. The density comes out at 7.83 g cm⁻³.

It has space group Immm (No. 71), with a = 4.222 Å, b = 9.446 Å, c = 17.478 Å, α = 90.00°, β = 90.00° and γ = 90.00°. The inequivalent atoms are Sm at (0.000, 0.000, 0.000), Sm at (0.000, 0.500, 0.104), Y at (0.000, 0.311, 0.331), Bi at (0.000, 0.000, 0.257) and Bi at (0.000, 0.206, 0.500).


Compound: HgTe2Br
Source: Alexandria via LeMat-Bulk
Functional: PBE-GGA
Structure: optimized geometry

As for the formation energy from raw total energies: 0.1602 eV/atom. Its crystal system is tetragonal. As for the total energy: -1.904 eV/atom. The polymorph energy (0 for the lowest one) comes out at 26.1 kJ per mole of atoms. The density comes out at 7.43 g cm⁻³.

It has space group P4/mmm (No. 123), with a = 3.949 Å, b = 3.949 Å, c = 7.673 Å, α = 90.00°, β = 90.00° and γ = 90.00°. The inequivalent atoms are Hg at (0.000, 0.000, 0.000), Te at (0.500, 0.500, 0.189) and Br at (0.000, 0.000, 0.500).


Compound: Cd8CuAg2
Source: Alexandria via LeMat-Bulk
Functional: PBE-GGA
Structure: optimized geometry

The value obtained for the energy relative to the elements is 0.006 eV per atom. Its crystal system is monoclinic. As for the total energy: -1.551 eV/atom. The polymorph energy (0 for the lowest one) comes out at 0.0 kJ per mole of atoms. The density comes out at 8.65 g cm⁻³.

It has space group C2/m (No. 12), with a = 15.344 Å, b = 4.786 Å, c = 6.893 Å, α = 90.00°, β = 116.67° and γ = 90.00°. The inequivalent atoms are Cd at (0.000, 0.000, 0.226), Cd at (0.137, 0.500, 0.913), Cd at (0.138, 0.500, 0.364), Cd at (0.172, 0.000, 0.673), Cu at (0.000, 0.500, 0.500) and Ag at (0.188, 0.000, 0.187).


Compound: InNi2Os
Source: Alexandria via LeMat-Bulk
Functional: PBE-GGA
Structure: optimized geometry

The value obtained for the energy relative to the elements is 0.237 eV per atom. Its crystal system is tetragonal. As for the total energy: -6.146 eV/atom. The density comes out at 12.45 g cm⁻³.

It has space group P4mm (No. 99), with a = 3.019 Å, b = 3.019 Å, c = 6.181 Å, α = 90.00°, β = 90.00° and γ = 90.00°. The inequivalent atoms are In at (0.000, 0.000, 0.000), Ni at (0.000, 0.000, 0.472), Ni at (0.500, 0.500, 0.263) and Os at (0.500, 0.500, 0.684).


Compound: CsInAg
Source: Alexandria via LeMat-Bulk
Functional: PBE-GGA
Structure: optimized geometry

The value obtained for the energy relative to the elements is 0.026 eV per atom. Its crystal system is triclinic. As for the total energy: -2.122 eV/atom. The polymorph energy (0 for the lowest one) comes out at 5.8 kJ per mole of atoms. The density comes out at 5.37 g cm⁻³.

It has space group P1 (No. 1), with a = 5.813 Å, b = 6.667 Å, c = 6.693 Å, α = 81.77°, β = 67.02° and γ = 67.05°. The inequivalent atoms are Cs at (0.000, 0.000, 0.000), Cs at (0.163, 0.332, 0.334), In at (0.422, 0.721, 0.435), In at (0.742, 0.898, 0.612), Ag at (0.519, 0.358, 0.719) and Ag at (0.644, 0.616, 0.976).


Compound: DyBrCl
Source: Alexandria via LeMat-Bulk
Functional: PBE-GGA
Structure: optimized geometry

As for the formation energy from raw total energies: -1.7517 eV/atom. Its crystal system is triclinic. As for the total energy: -4.459 eV/atom. The density comes out at 4.97 g cm⁻³.

It has space group P-1 (No. 2), with a = 3.806 Å, b = 6.563 Å, c = 8.178 Å, α = 69.56°, β = 76.67° and γ = 89.99°. The inequivalent atoms are Dy at (0.250, 0.244, 0.000), Br at (0.124, 0.805, 0.253) and Cl at (0.357, 0.677, 0.783).


Compound: GdMg16Al12
Source: Alexandria via LeMat-Bulk
Functional: PBE-GGA
Structure: optimized geometry

The value obtained for the energy relative to the elements is -0.072 eV per atom. Its crystal system is trigonal. As for the total energy: -2.986 eV/atom. The density comes out at 2.45 g cm⁻³.

It has space group R3m (No. 160, hexagonal axes), with a = 15.0844 Å, b = 15.0844 Å, c = 8.9781 Å, α = 90.00°, β = 90.00° and γ = 120.00°. The inequivalent atoms are Gd at (0.0000, 0.0000, 0.0000), Mg at (0.0000, 0.0000, 0.6239), Mg at (0.0327, 0.3602, 0.9876), Mg at (0.1055, 0.5527, 0.1768), Mg at (0.1106, 0.2211, 0.1259), Mg at (0.1997, 0.3993, 0.7427), Al at (0.0021, 0.1832, 0.8105), Al at (0.1223, 0.0611, 0.3161) and Al at (0.2127, 0.4255, 0.2251).


Compound: NaNi2S2
Source: Alexandria via LeMat-Bulk
Functional: PBE-GGA
Structure: optimized geometry

As for the formation energy from raw total energies: -0.5295 eV/atom. Its crystal system is monoclinic. As for the total energy: -4.757 eV/atom. The density comes out at 4.18 g cm⁻³.

It has space group C2/m (No. 12), with a = 12.025 Å, b = 3.744 Å, c = 3.747 Å, α = 90.00°, β = 105.44° and γ = 90.00°. The inequivalent atoms are Na at (0.000, 0.000, 0.000), Ni at (0.250, 0.000, 0.749) and S at (0.142, 0.500, 0.659).


Compound: KMo2Au
Source: Alexandria via LeMat-Bulk
Functional: PBE-GGA
Structure: optimized geometry

The value obtained for the energy relative to the elements is 1.040 eV per atom. Its crystal system is monoclinic. As for the total energy: -5.469 eV/atom. The polymorph energy (0 for the lowest one) comes out at 51.3 kJ per mole of atoms. The density comes out at 9.15 g cm⁻³.

It has space group C2/m (No. 12), with a = 5.609 Å, b = 11.050 Å, c = 2.655 Å, α = 90.00°, β = 109.33° and γ = 90.00°. The inequivalent atoms are K at (0.000, 0.000, 0.000), Mo at (0.250, 0.250, 0.500) and Au at (0.000, 0.500, 0.000).


Compound: Rb2TlAs2
Source: Alexandria via LeMat-Bulk
Functional: PBE-GGA
Structure: optimized geometry

The value obtained for the energy relative to the elements is -0.060 eV per atom. Its crystal system is tetragonal. As for the total energy: -2.780 eV/atom. The polymorph energy (0 for the lowest one) comes out at 22.6 kJ per mole of atoms. The density comes out at 4.52 g cm⁻³.

It has space group I4/mmm (No. 139), with a = 5.330 Å, b = 5.330 Å, c = 13.579 Å, α = 90.00°, β = 90.00° and γ = 90.00°. The inequivalent atoms are Rb at (0.000, 0.500, 0.250), Tl at (0.000, 0.000, 0.000) and As at (0.000, 0.000, 0.415).


Compound: RbSrPrCl6
Source: Alexandria via LeMat-Bulk
Functional: PBE-GGA
Structure: optimized geometry

As for the formation energy from raw total energies: -2.2933 eV/atom. Its crystal system is trigonal. As for the total energy: -4.350 eV/atom. The density comes out at 2.56 g cm⁻³.

It has space group P-31c (No. 163), with a = 7.5529 Å, b = 7.5529 Å, c = 13.8554 Å, α = 90.00°, β = 90.00° and γ = 120.00°. The inequivalent atoms are Rb at (0.0000, 0.0000, 0.0000), Sr at (0.3333, 0.6667, 0.2500), Pr at (0.3333, 0.6667, 0.7500) and Cl at (0.0134, 0.3768, 0.6382).


Compound: GePN3
Source: Alexandria via LeMat-Bulk
Functional: PBE-GGA
Structure: optimized geometry

As for the formation energy from raw total energies: 0.9644 eV/atom. Its crystal system is cubic. As for the total energy: -6.036 eV/atom. The density comes out at 5.42 g cm⁻³.

It has space group Pm-3m (No. 221), with a = 3.546 Å, b = 3.546 Å, c = 3.546 Å, α = 90.00°, β = 90.00° and γ = 90.00°. The inequivalent atoms are Ge at (0.000, 0.000, 0.000), P at (0.500, 0.500, 0.500) and N at (0.000, 0.500, 0.500).


Compound: Sm2ErS4
Source: Alexandria via LeMat-Bulk
Functional: PBE-GGA
Structure: optimized geometry

As for the formation energy from raw total energies: -2.0331 eV/atom. Its crystal system is orthorhombic. As for the total energy: -6.392 eV/atom. The polymorph energy (0 for the lowest one) comes out at 0.0 kJ per mole of atoms. The density comes out at 5.67 g cm⁻³.

It has space group Imma (No. 74), with a = 7.898 Å, b = 8.001 Å, c = 11.047 Å, α = 90.00°, β = 90.00° and γ = 90.00°. The inequivalent atoms are Sm at (0.000, 0.000, 0.000), Sm at (0.250, 0.250, 0.250), Er at (0.250, 0.250, 0.750), S at (0.000, 0.008, 0.746) and S at (0.246, 0.250, 0.996).


Compound: Zr2CrAu
Source: Alexandria via LeMat-Bulk
Functional: PBE-GGA
Structure: optimized geometry

The value obtained for the energy relative to the elements is -0.040 eV per atom. Its crystal system is tetragonal. As for the total energy: -7.540 eV/atom. The polymorph energy (0 for the lowest one) comes out at 15.0 kJ per mole of atoms. The density comes out at 9.10 g cm⁻³.

It has space group P4mm (No. 99), with a = 3.433 Å, b = 3.433 Å, c = 6.677 Å, α = 90.00°, β = 90.00° and γ = 90.00°. The inequivalent atoms are Zr at (0.000, 0.000, 0.000), Zr at (0.500, 0.500, 0.294), Cr at (0.500, 0.500, 0.763) and Au at (0.000, 0.000, 0.538).


Compound: Cs2RbNa7
Source: Alexandria via LeMat-Bulk
Functional: PBE-GGA
Structure: optimized geometry

The value obtained for the energy relative to the elements is 0.083 eV per atom. Its crystal system is orthorhombic. As for the total energy: -1.108 eV/atom. The density comes out at 1.50 g cm⁻³.

It has space group Cmmm (No. 65), with a = 9.276 Å, b = 27.722 Å, c = 4.400 Å, α = 90.00°, β = 90.00° and γ = 90.00°. The inequivalent atoms are Cs at (0.000, 0.244, 0.000), Rb at (0.000, 0.500, 0.500), Na at (0.000, 0.000, 0.000), Na at (0.000, 0.103, 0.500) and Na at (0.199, 0.385, 0.000).


Compound: LiErTm2
Source: Alexandria via LeMat-Bulk
Functional: PBE-GGA
Structure: optimized geometry

The value obtained for the energy relative to the elements is 0.075 eV per atom. Its crystal system is tetragonal. As for the total energy: -3.780 eV/atom. The polymorph energy (0 for the lowest one) comes out at 0.0 kJ per mole of atoms. The density comes out at 7.76 g cm⁻³.

It has space group P4/mmm (No. 123), with a = 3.548 Å, b = 3.548 Å, c = 8.700 Å, α = 90.00°, β = 90.00° and γ = 90.00°. The inequivalent atoms are Li at (0.000, 0.000, 0.000), Er at (0.000, 0.000, 0.500) and Tm at (0.500, 0.500, 0.224).


Compound: ScBe2As
Source: Alexandria via LeMat-Bulk
Functional: PBE-GGA
Structure: optimized geometry

The value obtained for the energy relative to the elements is -0.039 eV per atom. Its crystal system is trigonal. As for the total energy: -4.647 eV/atom. The density comes out at 4.00 g cm⁻³.

It has space group R-3m (No. 166, hexagonal axes), with a = 3.7572 Å, b = 3.7572 Å, c = 14.0407 Å, α = 90.00°, β = 90.00° and γ = 120.00°. The inequivalent atoms are Sc at (0.0000, 0.0000, 0.0000), Be at (0.0000, 0.0000, 0.2133) and As at (0.0000, 0.0000, 0.5000).


Compound: NpTc4Ge2
Source: Alexandria via LeMat-Bulk
Functional: PBE-GGA
Structure: optimized geometry

The value obtained for the energy relative to the elements is -0.166 eV per atom. Its crystal system is orthorhombic. As for the total energy: -9.257 eV/atom. The density comes out at 10.72 g cm⁻³.

It has space group Cmmm (No. 65), with a = 4.134 Å, b = 14.331 Å, c = 4.048 Å, α = 90.00°, β = 90.00° and γ = 90.00°. The inequivalent atoms are Np at (0.000, 0.000, 0.000), Tc at (0.000, 0.189, 0.500), Tc at (0.000, 0.303, 0.000) and Ge at (0.000, 0.414, 0.500).


Compound: LiTl4Hg15
Source: Alexandria via LeMat-Bulk
Functional: PBE-GGA
Structure: optimized geometry

The value obtained for the energy relative to the elements is -0.049 eV per atom. Its crystal system is tetragonal. As for the total energy: -0.845 eV/atom. The density comes out at 11.75 g cm⁻³.

It has space group P4/mmm (No. 123), with a = 5.105 Å, b = 5.105 Å, c = 20.792 Å, α = 90.00°, β = 90.00° and γ = 90.00°. The inequivalent atoms are Li at (0.000, 0.000, 0.000), Tl at (0.000, 0.000, 0.189), Tl at (0.000, 0.000, 0.396), Hg at (0.000, 0.500, 0.087), Hg at (0.000, 0.500, 0.292), Hg at (0.000, 0.500, 0.500), Hg at (0.500, 0.500, 0.000), Hg at (0.500, 0.500, 0.188) and Hg at (0.500, 0.500, 0.396).


Compound: Pm2Sm3In3
Source: Alexandria via LeMat-Bulk
Functional: PBE-GGA
Structure: optimized geometry

The value obtained for the energy relative to the elements is -0.360 eV per atom. Its crystal system is orthorhombic. As for the total energy: -4.345 eV/atom. The density comes out at 7.68 g cm⁻³.

It has space group Pmmm (No. 47), with a = 5.003 Å, b = 5.009 Å, c = 9.359 Å, α = 90.00°, β = 90.00° and γ = 90.00°. The inequivalent atoms are Pm at (0.000, 0.000, 0.237), Sm at (0.500, 0.000, 0.500), Sm at (0.500, 0.500, 0.235), In at (0.000, 0.500, 0.000), In at (0.000, 0.500, 0.500) and In at (0.500, 0.000, 0.000).


Compound: Cs4Tb3NpS8
Source: Alexandria via LeMat-Bulk
Functional: PBE-GGA
Structure: optimized geometry

As for the formation energy from raw total energies: -1.7021 eV/atom. Its crystal system is trigonal. As for the total energy: -5.656 eV/atom. The density comes out at 5.21 g cm⁻³.

It has space group R-3m (No. 166, hexagonal axes), with a = 8.2828 Å, b = 8.2828 Å, c = 24.1844 Å, α = 90.00°, β = 90.00° and γ = 120.00°. The inequivalent atoms are Cs at (0.0000, 0.0000, 0.0000), Cs at (0.0000, 0.5000, 0.0000), Tb at (0.0000, 0.5000, 0.5000), Np at (0.0000, 0.0000, 0.5000), S at (0.0000, 0.0000, 0.2275) and S at (0.0021, 0.5011, 0.7728).